[1]
## KScCoO3 (PBE+U)

Data for crystalline KScCoO3 at its relaxed geometry.

* E_tot: -6.68 eV per atom
* symmetry: No. 11

Geometry as POSCAR:
```
KScCoO3
1.0
6.541 0.000 0.000
0.000 3.310 0.000
-2.844 0.000 8.509
K Sc Co O
2 2 2 6
Cartesian
0.413 0.828 1.602 K
3.284 2.483 6.907 K
0.109 0.828 7.221 Sc
3.588 2.483 1.288 Sc
-0.550 2.483 4.840 Co
4.247 0.828 3.670 Co
-1.533 0.828 5.536 O
-0.762 2.483 8.384 O
0.845 2.483 6.114 O
2.852 0.828 2.395 O
4.459 0.828 0.126 O
5.230 2.483 2.974 O
```

=====

[2]
## KCoSeO4 (PBE+U)

Data for crystalline KCoSeO4 at its relaxed geometry.

* E_tot: -5.19 eV per atom
* symmetry: No. 11

Geometry as POSCAR:
```
KCoSeO4
1.0
4.874 0.000 0.000
0.000 6.323 0.000
-1.655 0.000 7.195
K Co Se O
2 2 2 8
Cartesian
0.556 1.581 0.836 K
2.663 4.742 6.359 K
0.147 4.742 4.130 Co
3.073 1.581 3.065 Co
0.679 1.581 5.119 Se
2.540 4.742 2.075 Se
0.160 1.581 3.476 O
0.809 4.742 2.276 O
0.382 3.411 5.468 O
0.382 6.074 5.468 O
2.838 0.249 1.727 O
2.838 2.912 1.727 O
2.410 1.581 4.919 O
3.060 4.742 3.718 O
```

=====

[3]
## KCoSe2O6 (PBE+U)

Data for crystalline KCoSe2O6 at its relaxed geometry.

* E_tot: -5.23 eV per atom
* symmetry: No. 148

Geometry as POSCAR:
```
KCoSe2O6
1.0
2.723 1.572 6.030
-2.723 1.572 6.030
0.000 -3.144 6.030
K Co Se O
1 1 2 6
Cartesian
0.000 0.000 0.000 K
0.000 0.000 9.045 Co
0.000 0.000 4.745 Se
0.000 0.000 13.344 Se
-1.120 -1.286 7.866 O
-1.674 0.327 10.223 O
0.554 -1.613 10.223 O
-0.554 1.613 7.866 O
1.674 -0.327 7.866 O
1.120 1.286 10.223 O
```

=====

[4]
## KCoSeO6 (PBE+U)

Data for crystalline KCoSeO6 at its relaxed geometry.

* E_tot: -5.19 eV per atom
* symmetry: No. 5

Geometry as POSCAR:
```
KCoSeO6
1.0
2.448 -4.243 0.000
2.448 4.243 0.000
-0.009 0.000 6.096
K Co Se O
1 1 1 6
Cartesian
0.000 0.000 0.000 K
2.444 1.414 3.048 Co
2.444 -1.414 3.048 Se
0.970 -1.640 1.996 O
1.903 -0.025 4.100 O
2.985 -0.025 1.995 O
1.512 -2.579 4.099 O
3.376 -2.579 1.996 O
3.918 -1.640 4.099 O
```

=====

[5]
## K5CoSeO2 (PBE+U)

Data for crystalline K5CoSeO2 at its relaxed geometry.

* E_tot: -3.78 eV per atom
* symmetry: No. 123

Geometry as POSCAR:
```
K5CoSeO2
1.0
5.369 0.000 0.000
0.000 5.369 0.000
0.000 0.000 8.848
K Co Se O
5 1 1 2
Cartesian
0.000 0.000 0.000 K
0.000 2.685 2.314 K
0.000 2.685 6.533 K
2.685 0.000 2.314 K
2.685 0.000 6.533 K
0.000 0.000 4.424 Co
2.685 2.685 0.000 Se
0.000 0.000 2.656 O
0.000 0.000 6.192 O
```

=====

[6]
## KCoSe2O8 (PBE+U)

Data for crystalline KCoSe2O8 at its relaxed geometry.

* E_tot: -5.26 eV per atom
* symmetry: No. 148

Geometry as POSCAR:
```
KCoSe2O8
1.0
2.513 1.451 8.557
-2.513 1.451 8.557
0.000 -2.902 8.557
K Co Se O
1 1 2 8
Cartesian
0.000 0.000 0.000 K
0.000 0.000 12.836 Co
0.000 0.000 6.013 Se
0.000 0.000 19.659 Se
-1.614 -0.126 11.644 O
-0.698 -1.461 14.029 O
0.000 0.000 7.664 O
0.916 -1.335 11.644 O
-0.916 1.335 14.029 O
0.000 0.000 18.008 O
0.698 1.461 11.644 O
1.614 0.126 14.029 O
```

=====

[7]
## K2CoSiO4 (PBE+U)

Data for crystalline K2CoSiO4 at its relaxed geometry.

* E_tot: -5.95 eV per atom
* symmetry: No. 70

Geometry as POSCAR:
```
K2CoSiO4
1.0
0.000 5.786 9.906
2.519 0.000 9.906
2.519 5.786 0.000
K Co Si O
4 2 2 8
Cartesian
1.889 4.339 1.012 K
3.149 7.232 5.965 K
1.889 4.339 13.848 K
3.149 7.232 18.801 K
0.630 1.446 2.477 Co
4.408 10.125 17.336 Co
1.889 4.339 7.430 Si
3.149 7.232 12.383 Si
2.927 3.376 6.555 O
2.927 5.303 8.304 O
4.187 6.269 13.257 O
4.187 8.196 11.509 O
0.851 3.376 8.304 O
0.851 5.303 6.555 O
2.111 6.269 11.509 O
2.111 8.196 13.257 O
```

=====

[8]
## K3Sm2CoO6 (PBE+U)

Data for crystalline K3Sm2CoO6 at its relaxed geometry.

* E_tot: -6.03 eV per atom
* symmetry: No. 12

Geometry as POSCAR:
```
K3Sm2CoO6
1.0
2.995 -5.105 0.000
2.995 5.105 0.000
-1.996 0.000 6.253
K Sm Co O
3 2 1 6
Cartesian
0.000 0.000 0.000 K
2.995 1.638 0.000 K
2.995 -1.638 0.000 K
1.997 3.411 3.127 Sm
1.997 -3.411 3.127 Sm
1.997 0.000 3.127 Co
1.089 1.526 1.998 O
0.058 0.000 4.343 O
1.089 -1.526 1.998 O
2.904 1.526 4.255 O
3.936 0.000 1.910 O
2.904 -1.526 4.255 O
```

=====

[9]
## KSmCoO3 (PBE+U)

Data for crystalline KSmCoO3 at its relaxed geometry.

* E_tot: -6.35 eV per atom
* symmetry: No. 12

Geometry as POSCAR:
```
KSmCoO3
1.0
6.420 -1.924 0.000
6.420 1.924 0.000
-1.972 0.000 7.247
K Sm Co O
2 2 2 6
Cartesian
1.695 0.000 0.456 K
9.172 0.000 6.791 K
0.759 0.000 4.176 Sm
10.109 0.000 3.070 Sm
4.912 0.000 5.197 Co
5.956 0.000 2.049 Co
-0.506 0.000 2.205 O
3.093 0.000 4.572 O
4.110 0.000 1.660 O
6.757 0.000 5.587 O
7.774 0.000 2.674 O
11.373 0.000 5.042 O
```

=====

[10]
## KSr2CoO4 (PBE+U)

Data for crystalline KSr2CoO4 at its relaxed geometry.

* E_tot: -5.64 eV per atom
* symmetry: No. 63

Geometry as POSCAR:
```
KSr2CoO4
1.0
1.777 -6.381 0.000
1.777 6.381 0.000
0.000 0.000 12.420
K Sr Co O
2 4 2 8
Cartesian
1.777 5.401 9.315 K
1.777 -5.401 3.105 K
1.777 1.625 6.720 Sr
1.777 1.625 11.910 Sr
1.777 -1.625 0.510 Sr
1.777 -1.625 5.700 Sr
1.777 3.925 3.105 Co
1.777 -3.925 9.315 Co
0.000 0.000 0.000 O
0.000 0.000 6.210 O
1.777 3.112 1.500 O
1.777 3.112 4.710 O
1.777 1.410 9.315 O
1.777 -1.410 3.105 O
1.777 -3.112 7.710 O
1.777 -3.112 10.920 O
```

=====

[11]
## K2SrCo2O4 (PBE+U)

Data for crystalline K2SrCo2O4 at its relaxed geometry.

* E_tot: -5.27 eV per atom
* symmetry: No. 12

Geometry as POSCAR:
```
K2SrCo2O4
1.0
6.183 -1.823 0.000
6.183 1.823 0.000
-5.739 0.000 6.965
K Sr Co O
2 1 2 4
Cartesian
0.481 0.000 1.872 K
6.146 0.000 5.094 K
-2.869 0.000 3.483 Sr
3.635 0.000 0.932 Co
2.992 0.000 6.033 Co
-2.109 0.000 5.905 O
1.875 0.000 4.486 O
4.752 0.000 2.479 O
8.736 0.000 1.060 O
```

=====

[12]
## K2SrCoO4 (PBE+U)

Data for crystalline K2SrCoO4 at its relaxed geometry.

* E_tot: -4.89 eV per atom
* symmetry: No. 70

Geometry as POSCAR:
```
K2SrCoO4
1.0
0.000 6.400 12.122
3.092 0.000 12.122
3.092 6.400 0.000
K Sr Co O
4 2 2 8
Cartesian
2.319 4.800 1.964 K
3.865 8.000 8.025 K
2.319 4.800 16.219 K
3.865 8.000 22.281 K
0.773 1.600 3.031 Sr
5.411 11.199 21.214 Sr
2.319 4.800 9.092 Co
3.865 8.000 15.153 Co
3.510 3.569 8.507 O
3.510 6.030 9.676 O
5.056 6.769 15.737 O
1.128 3.569 9.676 O
5.056 9.230 14.568 O
1.128 6.030 8.507 O
2.674 6.769 14.568 O
2.674 9.230 15.737 O
```

=====

[13]
## KTaCo2O (PBE+U)

Data for crystalline KTaCo2O at its relaxed geometry.

* E_tot: -5.34 eV per atom
* symmetry: No. 123

Geometry as POSCAR:
```
KTaCo2O
1.0
5.259 0.000 0.000
0.000 5.259 0.000
0.000 0.000 3.966
K Ta Co O
1 1 2 1
Cartesian
0.000 0.000 0.000 K
2.629 2.629 1.983 Ta
0.000 2.629 1.983 Co
2.629 0.000 1.983 Co
2.629 2.629 0.000 O
```

=====

[14]
## KTbCoO3 (PBE+U)

Data for crystalline KTbCoO3 at its relaxed geometry.

* E_tot: -6.39 eV per atom
* symmetry: No. 11

Geometry as POSCAR:
```
KTbCoO3
1.0
7.387 0.000 0.000
0.000 3.545 0.000
-3.051 0.000 8.655
K Tb Co O
2 2 2 6
Cartesian
0.895 0.886 1.457 K
3.442 2.658 7.199 K
-0.146 2.658 7.404 Tb
4.483 0.886 1.251 Tb
-1.555 0.886 5.350 Co
5.891 2.658 3.305 Co
-1.719 0.886 7.290 O
-0.617 2.658 5.087 O
3.025 2.658 1.014 O
1.311 0.886 7.642 O
4.954 0.886 3.568 O
6.056 2.658 1.365 O
```

=====

[15]
## K2TbCoO4 (PBE+U)

Data for crystalline K2TbCoO4 at its relaxed geometry.

* E_tot: -5.87 eV per atom
* symmetry: No. 82

Geometry as POSCAR:
```
K2TbCoO4
1.0
-2.987 2.987 4.026
2.987 -2.987 4.026
2.987 2.987 -4.026
K Tb Co O
2 1 1 4
Cartesian
0.000 0.000 0.000 K
0.000 2.987 2.013 K
0.000 0.000 4.026 Tb
2.987 0.000 2.013 Co
1.399 2.070 -1.141 O
3.905 1.399 1.141 O
1.588 0.917 2.885 O
-0.917 1.588 5.168 O
```

=====

[16]
## K3Tb3CoO8 (PBE+U)

Data for crystalline K3Tb3CoO8 at its relaxed geometry.

* E_tot: -6.41 eV per atom
* symmetry: No. 12

Geometry as POSCAR:
```
K3Tb3CoO8
1.0
5.951 -3.353 0.000
5.951 3.353 0.000
-3.875 0.000 6.278
K Tb Co O
3 3 1 8
Cartesian
0.000 0.000 0.000 K
2.976 1.676 0.000 K
2.976 -1.676 0.000 K
1.038 1.676 3.139 Tb
1.038 -1.676 3.139 Tb
4.014 0.000 3.139 Tb
-1.937 0.000 3.139 Co
3.173 1.938 4.146 O
4.854 1.938 2.132 O
0.148 0.000 4.378 O
2.065 0.000 1.979 O
5.963 0.000 4.299 O
7.879 0.000 1.900 O
3.173 -1.938 4.146 O
4.854 -1.938 2.132 O
```

=====

[17]
## K3Tb2CoO6 (PBE+U)

Data for crystalline K3Tb2CoO6 at its relaxed geometry.

* E_tot: -6.08 eV per atom
* symmetry: No. 12

Geometry as POSCAR:
```
K3Tb2CoO6
1.0
2.944 -5.024 0.000
2.944 5.024 0.000
-1.968 0.000 6.229
K Tb Co O
3 2 1 6
Cartesian
0.000 0.000 0.000 K
2.944 1.628 0.000 K
2.944 -1.628 0.000 K
1.960 3.357 3.115 Tb
1.960 -3.357 3.115 Tb
1.960 0.000 3.115 Co
1.051 1.534 1.993 O
0.045 0.000 4.302 O
1.051 -1.534 1.993 O
2.869 1.534 4.236 O
3.874 0.000 1.928 O
2.869 -1.534 4.236 O
```

=====

[18]
## KCoTc2O8 (PBE+U)

Data for crystalline KCoTc2O8 at its relaxed geometry.

* E_tot: -6.99 eV per atom
* symmetry: No. 147

Geometry as POSCAR:
```
KCoTc2O8
1.0
5.583 0.000 0.000
-2.791 4.835 0.000
0.000 0.000 7.570
K Co Tc O
1 1 2 8
Cartesian
0.000 0.000 0.000 K
0.000 0.000 3.785 Co
0.000 3.223 5.560 Tc
2.791 1.612 2.010 Tc
-0.418 1.595 5.015 O
-1.201 4.399 5.015 O
1.172 1.160 2.555 O
0.000 3.223 7.307 O
2.791 1.612 0.263 O
1.619 3.675 5.015 O
3.992 0.435 2.555 O
3.210 3.239 2.555 O
```

=====

[19]
## K2CoTcO4 (PBE+U)

Data for crystalline K2CoTcO4 at its relaxed geometry.

* E_tot: -5.97 eV per atom
* symmetry: No. 82

Geometry as POSCAR:
```
K2CoTcO4
1.0
-2.999 2.999 3.604
2.999 -2.999 3.604
2.999 2.999 -3.604
K Co Tc O
2 1 1 4
Cartesian
0.000 0.000 0.000 K
0.000 2.999 1.802 K
0.000 0.000 3.604 Co
2.999 0.000 1.802 Tc
1.581 2.202 -1.125 O
3.796 1.581 1.125 O
1.419 0.797 2.480 O
-0.797 1.419 4.729 O
```

=====

[20]
## K5CoTeO2 (PBE+U)

Data for crystalline K5CoTeO2 at its relaxed geometry.

* E_tot: -3.73 eV per atom
* symmetry: No. 123

Geometry as POSCAR:
```
K5CoTeO2
1.0
5.464 0.000 0.000
0.000 5.464 0.000
0.000 0.000 8.987
K Co Te O
5 1 1 2
Cartesian
0.000 0.000 0.000 K
0.000 2.732 2.440 K
0.000 2.732 6.547 K
2.732 0.000 2.440 K
2.732 0.000 6.547 K
0.000 0.000 4.494 Co
2.732 2.732 0.000 Te
0.000 0.000 2.725 O
0.000 0.000 6.262 O
```

=====

[21]
## KCoTeO4 (PBE+U)

Data for crystalline KCoTeO4 at its relaxed geometry.

* E_tot: -5.23 eV per atom
* symmetry: No. 11

Geometry as POSCAR:
```
KCoTeO4
1.0
5.774 0.000 0.000
0.000 6.405 0.000
-1.751 0.000 7.230
K Co Te O
2 2 2 8
Cartesian
0.426 1.601 0.820 K
3.596 4.804 6.410 K
0.931 1.601 4.920 Co
3.092 4.804 2.310 Co
0.079 4.804 2.835 Te
3.943 1.601 4.395 Te
-0.633 0.312 5.185 O
-0.633 2.891 5.185 O
1.398 4.804 1.399 O
1.346 1.601 3.261 O
2.676 4.804 3.969 O
2.625 1.601 5.831 O
4.655 3.515 2.045 O
4.655 6.093 2.045 O
```